# 1
ScFe4Ru: relaxed, GGA-PBEsol.

For the formation energy, the calculation gives -0.05 eV/atom. Its calculated volume is 12.59 Å³ per atom. As for the total moment: 8.761 μB per formula unit. The total energy comes out at -8.83 eV/atom.

The space group is F-43m (No. 216) and the conventional cell measures 6.7095, 6.7095 and 6.7095 Å, with angles of 90.00, 90.00 and 90.00 degrees. Symmetry generates all atoms from Sc at (0.0000, 0.0000, 0.0000), Fe at (0.1240, 0.1240, 0.3760) and Ru at (0.2500, 0.2500, 0.7500).

---

# 2
ScFe2Ru: relaxed, GGA-PBEsol.

For the formation energy, the calculation gives 0.02 eV/atom. Its calculated volume is 13.48 Å³ per atom. As for the total moment: 4.403 μB per formula unit. The total energy comes out at -8.66 eV/atom.

The space group is Imm2 (No. 44) and the conventional cell measures 2.9982, 4.2479 and 8.4674 Å, with angles of 90.00, 90.00 and 90.00 degrees. Symmetry generates all atoms from Sc at (0.0000, 0.0000, 0.0000), Fe at (0.0000, 0.0000, 0.4947), Fe at (0.0000, 0.5000, 0.7675) and Ru at (0.0000, 0.5000, 0.2345).

---

# 3
ScFeRu2: relaxed, GGA-PBEsol.

For the formation energy, the calculation gives -0.11 eV/atom. Its calculated volume is 13.96 Å³ per atom. As for the total moment: 3.077 μB per formula unit. The total energy comes out at -9.09 eV/atom.

The space group is P4/mmm (No. 123) and the conventional cell measures 4.2570, 4.2570 and 3.0815 Å, with angles of 90.00, 90.00 and 90.00 degrees. Symmetry generates all atoms from Sc at (0.0000, 0.0000, 0.0000), Fe at (0.5000, 0.5000, 0.0000) and Ru at (0.0000, 0.5000, 0.5000).

---

# 4
ScFeRu2: relaxed, GGA-PBEsol.

For the formation energy, the calculation gives 0.03 eV/atom. Its calculated volume is 14.15 Å³ per atom. As for the total moment: 2.495 μB per formula unit. The total energy comes out at -8.95 eV/atom.

The space group is C2/m (No. 12) and the conventional cell measures 9.7053, 2.9295 and 4.4445 Å, with angles of 90.00, 116.41 and 90.00 degrees. Symmetry generates all atoms from Sc at (0.0000, 0.0000, 0.0000), Fe at (0.0000, 0.5000, 0.5000) and Ru at (0.2261, 0.0000, 0.7253).

---

Question: calculated volume of number 2 (ScFe2Ru)?
Answer: 13.48 Å³ per atom

---

Question: Which of these has the lowest calculated volume?
Answer: ScFe4Ru

---

Question: Which formula does entry 2 have?
Answer: ScFe2Ru